Record 1
The following is a DFT calculation (PBE-GGA) of an optimized crystal structure of RbTiCl3.

Calculated values
* raw formation energy: -1.59 eV/atom
* spin magnetization: 2.01 μB per formula unit
* N(E_F): 6.74 states/eV/f.u.

a b c (Å): 13.8067 13.9688 6.3183
angles (deg): 90.00 90.00 90.00
Space group Cmce (No. 64)
Symmetry-distinct sites (fractional):
1 Rb 0.2500 0.1234 0.2500 [8 per cell]
2 Ti 0.0000 0.2493 0.5505 [8 per cell]
3 Cl 0.0000 0.1099 0.2989 [8 per cell]
4 Cl 0.1230 0.1750 0.8020 [16 per cell]

***

Record 2
The following is a DFT calculation (PBE-GGA) of an optimized crystal structure of Rb2TiCl.

Calculated values
* relative energy among the computed polymorphs: 0 meV/atom
* raw formation energy: 0.10 eV/atom
* spin magnetization: 3.00 μB per formula unit
* N(E_F): 0.42 states/eV/f.u.

a b c (Å): 9.5332 9.5332 9.3476
angles (deg): 90.00 90.00 90.00
Space group I-42d (No. 122)
Symmetry-distinct sites (fractional):
1 Rb 0.1790 0.2500 0.1250 [8 per cell]
2 Ti 0.0000 0.0000 0.5000 [4 per cell]
3 Cl 0.0000 0.0000 0.0000 [4 per cell]

***

Record 3
The following is a DFT calculation (PBE-GGA) of an optimized crystal structure of RbTi2Cl.

Calculated values
* relative energy among the computed polymorphs: 546 meV/atom
* raw formation energy: 1.24 eV/atom
* spin magnetization: 6.88 μB per formula unit
* N(E_F): 8.55 states/eV/f.u.

a b c (Å): 7.6070 7.6070 7.6070
angles (deg): 90.00 90.00 90.00
Space group Fm-3m (No. 225)
Symmetry-distinct sites (fractional):
1 Rb 0.0000 0.0000 0.0000 [4 per cell]
2 Ti 0.2500 0.2500 0.2500 [8 per cell]
3 Cl 0.0000 0.0000 0.5000 [4 per cell]

***

Record 4
The following is a DFT calculation (PBE-GGA) of an optimized crystal structure of Rb2TiCl6.

Calculated values
* raw formation energy: -1.81 eV/atom
* spin magnetization: 0.00 μB per formula unit
* N(E_F): 0.00 states/eV/f.u.

a b c (Å): 10.2471 10.2471 10.2471
angles (deg): 90.00 90.00 90.00
Space group Fm-3m (No. 225)
Symmetry-distinct sites (fractional):
1 Rb 0.2500 0.2500 0.2500 [8 per cell]
2 Ti 0.0000 0.0000 0.0000 [4 per cell]
3 Cl 0.0000 0.0000 0.2306 [24 per cell]

***

Record 5
The following is a DFT calculation (PBE-GGA) of an optimized crystal structure of Rb3Ti2Cl9.

Calculated values
* raw formation energy: -1.79 eV/atom
* spin magnetization: 2.00 μB per formula unit
* N(E_F): 8.99 states/eV/f.u.

a b c (Å): 12.4291 12.4291 18.3768
angles (deg): 90.00 90.00 120.00
Space group R-3c (No. 167, hexagonal axes)
Symmetry-distinct sites (fractional):
1 Rb 0.0000 0.3431 0.2500 [18 per cell]
2 Ti 0.0000 0.0000 0.1657 [12 per cell]
3 Cl 0.0000 0.1582 0.7500 [18 per cell]
4 Cl 0.0016 0.1634 0.4015 [36 per cell]

***

Record 6
The following is a DFT calculation (PBE-GGA) of an optimized crystal structure of RbTiCl2.

Calculated values
* relative energy among the computed polymorphs: 9 meV/atom
* raw formation energy: -0.92 eV/atom
* spin magnetization: 2.45 μB per formula unit
* N(E_F): 11.99 states/eV/f.u.

a b c (Å): 3.9746 3.9746 27.2561
angles (deg): 90.00 90.00 120.00
Space group R-3m (No. 166, hexagonal axes)
Symmetry-distinct sites (fractional):
1 Rb 0.0000 0.0000 0.0000 [3 per cell]
2 Ti 0.0000 0.0000 0.5000 [3 per cell]
3 Cl 0.0000 0.0000 0.1196 [6 per cell]